(1)
{"formula": "TcNiHg2C", "functional": "GGA-PBE", "state": "relaxed", "formation_enthalpy_0k_ev_per_atom": 2.072, "total_energy_ev_per_atom": -3.123, "lattice_angstrom": [[-2.890, -1.583, -3.557], [-2.638, -2.167, 3.108], [-2.735, 3.978, 0.452]], "species": ["Ni", "C", "Hg", "Hg", "Tc"], "frac_coords": [[0.000, 0.000, 0.000], [0.500, 0.500, 0.500], [0.000, 0.000, 0.500], [0.500, 0.000, 0.000], [0.000, 0.500, 0.000]]}

=====

(2)
{"formula": "AlIn2Ru2", "functional": "GGA-PBE", "state": "relaxed", "formation_enthalpy_0k_ev_per_atom": -0.173, "total_energy_ev_per_atom": -5.727, "lattice_angstrom": [[-0.613, 6.175, 2.027], [-6.004, -1.317, 2.198], [1.584, -1.056, 3.694]], "species": ["Ru", "Ru", "Ru", "Ru", "Al", "Al", "In", "In", "In", "In"], "frac_coords": [[0.355, 0.855, 0.000], [0.855, 0.645, 0.000], [0.645, 0.145, 0.000], [0.145, 0.355, 0.000], [0.000, 0.000, 0.000], [0.500, 0.500, 0.000], [0.162, 0.662, 0.500], [0.662, 0.838, 0.500], [0.838, 0.338, 0.500], [0.338, 0.162, 0.500]]}

=====

(3)
{"formula": "SrTaAg", "functional": "GGA-PBE", "state": "relaxed", "formation_enthalpy_0k_ev_per_atom": 0.456, "relative_energy_mev_per_atom": 226.3, "total_energy_ev_per_atom": -5.005, "lattice_angstrom": [[4.674, -0.008, -0.009], [-2.330, 5.825, 0.041], [-2.330, -0.516, 5.802]], "species": ["Sr", "Sr", "Ag", "Ag", "Ta", "Ta"], "frac_coords": [[0.265, 0.276, 0.878], [0.765, 0.649, 0.505], [0.077, 0.664, 0.113], [0.577, 0.883, 0.893], [0.430, 0.061, 0.422], [0.930, 0.193, 0.291]]}

=====

(4)
{"formula": "Hf2Pd6Au", "functional": "GGA-PBE", "state": "relaxed", "formation_enthalpy_0k_ev_per_atom": -0.516, "relative_energy_mev_per_atom": 168.6, "total_energy_ev_per_atom": -6.554, "lattice_angstrom": [[2.941, 0.000, 0.000], [0.000, 6.846, -3.561], [0.000, -0.339, 7.710]], "species": ["Hf", "Hf", "Pd", "Pd", "Pd", "Pd", "Pd", "Pd", "Au"], "frac_coords": [[0.000, 0.667, 0.333], [0.000, 0.333, 0.667], [0.500, 0.367, 0.367], [0.500, 0.633, 0.000], [0.500, 0.000, 0.633], [0.000, 0.692, 0.692], [0.000, 0.308, 0.000], [0.000, 0.000, 0.308], [0.500, 0.000, 0.000]]}